[1]
14
Lattice="-3.9848 -1.7222 0.3709 1.0906 -7.1594 4.0625 -2.3125 1.5256 7.8279" Properties=species:S:1:pos:R:3 comment="PBE Dy3Al8Au3, relaxed" crystal_system=orthorhombic total_energy_ev_per_atom=-4.366 density_g_cm3=7.86 delta_e_f_ev_per_atom=-0.539 dos_at_fermi_per_ev_cell=5.74 pbc="T T T"
Al -4.5757 -4.0699 8.7097
Dy -3.4613 -2.4634 2.5536
Al -0.6310 -3.2861 3.5516
Al -3.7000 -6.3049 7.7408
Al -3.2096 -1.7265 8.6784
Au -1.5547 -0.4084 6.9894
Al -1.5067 -1.0512 4.5205
Au -1.9924 -0.8611 0.1855
Al -3.9211 -0.7192 5.7118
Al -1.9971 -5.6295 3.5829
Al -1.2856 -6.6369 6.5495
Au 0.3328 -5.2254 4.9010
Dy -1.7454 -4.8926 9.7076
Dy -2.6033 -3.6780 6.1306

---

[2]
11
Lattice="-3.0911 4.3653 2.0539 -4.8060 -2.5739 -1.7627 -0.5549 -3.5293 6.6663" Properties=species:S:1:pos:R:3 comment="PBE DyAl2Au8, relaxed" crystal_system=tetragonal total_energy_ev_per_atom=-3.704 density_g_cm3=11.99 delta_e_f_ev_per_atom=-0.222 dos_at_fermi_per_ev_cell=3.10 pbc="T T T"
Au -4.5098 -1.6590 0.6431
Al -1.5456 2.1827 1.0269
Au -4.8194 -3.6281 4.3623
Dy -4.2260 -0.8689 3.4787
Au -6.4004 -1.3953 5.4128
Au -2.3612 -2.3116 5.2639
Au -2.0516 -0.3425 1.5446
Au -3.6327 1.8902 2.5952
Au -6.0908 0.5738 1.6936
Au -3.9422 -0.0788 6.3144
Al -2.4030 -1.2869 -0.8813

---

[3]
4
Lattice="-1.0479 3.3954 0.1132 -0.7497 -0.3467 3.4580 6.9520 2.0884 1.7165" Properties=species:S:1:pos:R:3 comment="PBE Dy2AlAu, relaxed" crystal_system=tetragonal total_energy_ev_per_atom=-4.674 density_g_cm3=9.67 delta_e_f_ev_per_atom=-0.618 dos_at_fermi_per_ev_cell=1.97 pbc="T T T"
Al 2.5772 2.5686 2.6438
Dy 5.2601 1.5802 1.2987
Au -0.8988 1.5244 1.7856
Dy 1.6918 0.5082 0.4177

---

[4]
12
Lattice="5.6494 0.0000 0.0000 0.0000 6.5542 -0.0840 0.0000 -1.3990 6.4038" Properties=species:S:1:pos:R:3 comment="PBE DyAl2Au3, relaxed" crystal_system=orthorhombic total_energy_ev_per_atom=-4.247 density_g_cm3=11.34 delta_e_f_ev_per_atom=-0.594 dos_at_fermi_per_ev_cell=3.64 pbc="T T T"
Au 1.4124 5.0557 6.1977
Al 2.8247 0.3098 5.0098
Au 1.4124 4.8091 3.4017
Au 1.4124 2.3662 5.3944
Au 4.2371 2.7890 0.9253
Al 2.8247 4.8454 1.3099
Dy 1.4124 1.7767 2.1780
Au 4.2371 0.3462 2.9181
Dy 4.2371 3.3786 4.1417
Al 0.0000 4.8454 1.3099
Au 4.2371 0.0995 0.1220
Al 0.0000 0.3098 5.0098

---

[5]
28
Lattice="4.3631 0.0000 0.0000 0.0000 9.5920 0.0000 0.0000 0.0000 12.9202" Properties=species:S:1:pos:R:3 comment="PBE Dy3Al6Au5, relaxed" crystal_system=orthorhombic total_energy_ev_per_atom=-4.458 density_g_cm3=10.04 delta_e_f_ev_per_atom=-0.698 dos_at_fermi_per_ev_cell=13.78 pbc="T T T"
Au 2.1816 2.0037 6.4601
Al 0.0000 9.4014 1.9765
Al 0.0000 5.7324 4.2127
Al 0.0000 5.7324 8.7075
Al 2.1816 3.8595 2.2474
Al 0.0000 0.4170 6.4601
Al 2.1816 3.8595 10.6728
Au 2.1816 1.2551 10.9131
Dy 2.1816 7.2173 2.5724
Al 2.1816 0.1905 4.4836
Dy 0.0000 2.3746 3.8877
Au 0.0000 5.0754 1.6098
Al 0.0000 9.4014 10.9437
Al 2.1816 9.1750 0.0000
Al 2.1816 5.4906 0.0000
Al 2.1816 0.1905 8.4366
Au 0.0000 8.3369 8.4671
Au 2.1816 4.5165 4.8503
Dy 2.1816 7.2036 6.4601
Au 0.0000 8.3369 4.4531
Dy 0.0000 2.3746 9.0325
Al 0.0000 4.1013 6.4601
Au 0.0000 7.5882 0.0000
Dy 2.1816 7.2173 10.3478
Dy 0.0000 2.3883 0.0000
Au 2.1816 1.2551 2.0070
Au 0.0000 5.0754 11.3104
Au 2.1816 4.5165 8.0699

---

[6]
6
Lattice="3.6027 0.0000 0.0000 0.0000 3.6027 0.0000 0.0000 0.0000 10.8244" Properties=species:S:1:pos:R:3 comment="PBE Dy3Al2Au, relaxed" crystal_system=tetragonal total_energy_ev_per_atom=-4.628 density_g_cm3=8.73 delta_e_f_ev_per_atom=-0.533 dos_at_fermi_per_ev_cell=4.21 pbc="T T T"
Dy 0.0000 0.0000 7.1938
Al 1.8014 1.8014 9.0327
Dy 0.0000 0.0000 0.0000
Dy 0.0000 0.0000 3.6307
Al 1.8014 1.8014 1.7918
Au 1.8014 1.8014 5.4122

---

The records above give, respectively, magnetic moment values of 0.000, 0.000, 0.000, 0.000, 0.000, 0.000 μB per atom.